VPtN2O | GGA+U | relaxed

Properties
Total DFT energy (no corrections) ... -5.7123 eV/atom
Magnetic moment ... 0.1049 μB/atom
Calculated density ... 7.7 Mg/m³

abc: 3.8545 3.8545 4.2081
angles: 90.00 90.00 90.00
Last column: nearest neighbours and their distance in Å.
Space group P4/mmm (No. 123)
Symmetry-distinct sites (fractional):
1 V 0.0000 0.0000 0.0000 x1  4 O 2.73, 8 N 2.85
2 Pt 0.5000 0.5000 0.5000 x1  4 N 1.93, 2 O 2.10
3 N 0.0000 0.5000 0.5000 x2  2 Pt 1.93
4 O 0.5000 0.5000 0.0000 x1  2 Pt 2.10

---

VPtNO2 | GGA+U | relaxed

Properties
Total DFT energy (no corrections) ... -5.6894 eV/atom
Magnetic moment ... 0.2473 μB/atom
Calculated density ... 7.6 Mg/m³

abc: 4.1698 4.1698 3.6799
angles: 90.00 90.00 90.00
Last column: nearest neighbours and their distance in Å.
Space group P4/mmm (No. 123)
Symmetry-distinct sites (fractional):
1 V 0.0000 0.0000 0.0000 x1  8 O 2.78, 4 N 2.95
2 Pt 0.5000 0.5000 0.5000 x1  2 N 1.84
3 N 0.5000 0.5000 0.0000 x1  2 Pt 1.84
4 O 0.0000 0.5000 0.5000 x2  2 Pt 2.08

---

VPtNO2 | GGA+U | relaxed

Properties
Total DFT energy (no corrections) ... -6.2773 eV/atom
Magnetic moment ... 0.0000 μB/atom
Calculated density ... 8.7 Mg/m³

abc: 3.6459 3.6459 4.1910
angles: 90.00 90.00 90.00
Last column: nearest neighbours and their distance in Å.
Space group P4/mmm (No. 123)
Symmetry-distinct sites (fractional):
1 V 0.0000 0.0000 0.0000 x1  4 O 1.82
2 Pt 0.5000 0.5000 0.5000 x1  4 N 2.58, 8 O 2.78
3 N 0.0000 0.0000 0.5000 x1  2 V 2.10
4 O 0.0000 0.5000 0.0000 x2  2 V 1.82

---

VPtN2O | GGA+U | relaxed

Properties
Total DFT energy (no corrections) ... -6.2913 eV/atom
Magnetic moment ... 0.0001 μB/atom
Calculated density ... 8.7 Mg/m³

abc: 3.9425 3.9425 3.5790
angles: 90.00 90.00 90.00
Last column: nearest neighbours and their distance in Å.
Space group P4/mmm (No. 123)
Symmetry-distinct sites (fractional):
1 V 0.0000 0.0000 0.0000 x1  2 O 1.79, 4 N 1.97
2 Pt 0.5000 0.5000 0.5000 x1  8 N 2.66, 4 O 2.79
3 N 0.0000 0.5000 0.0000 x2  2 V 1.97
4 O 0.0000 0.0000 0.5000 x1  2 V 1.79

---

PtWNO2 | GGA+U | relaxed

Properties
Total DFT energy (no corrections) ... -5.5415 eV/atom
Magnetic moment ... 0.5965 μB/atom
Calculated density ... 10.7 Mg/m³

abc: 4.1909 4.1909 3.7532
angles: 90.00 90.00 90.00
Last column: nearest neighbours and their distance in Å.
Space group P4/mmm (No. 123)
Symmetry-distinct sites (fractional):
1 Pt 0.0000 0.0000 0.0000 x1  2 N 1.88, 4 O 2.10
2 W 0.5000 0.5000 0.5000 x1  8 O 2.81, 4 N 2.96
3 N 0.0000 0.0000 0.5000 x1  2 Pt 1.88
4 O 0.0000 0.5000 0.0000 x2  2 Pt 2.10

---

PtWNO2 | GGA+U | relaxed

Properties
Total DFT energy (no corrections) ... -6.3853 eV/atom
Magnetic moment ... 0.0000 μB/atom
Calculated density ... 11.4 Mg/m³

abc: 3.8596 3.8596 4.1617
angles: 90.00 90.00 90.00
Last column: nearest neighbours and their distance in Å.
Space group P4/mmm (No. 123)
Symmetry-distinct sites (fractional):
1 Pt 0.0000 0.0000 0.0000 x1  4 N 2.73, 8 O 2.84
2 W 0.5000 0.5000 0.5000 x1  4 O 1.93, 2 N 2.08
3 N 0.5000 0.5000 0.0000 x1  2 W 2.08
4 O 0.0000 0.5000 0.5000 x2  2 W 1.93